## P
A plane-wave DFT calculation with PBE was carried out for VRePCl2 after structural relaxation.

The structure in extended XYZ format:
```
5
Lattice="-2.578 -2.675 3.172 4.131 -1.298 2.262 -0.372 3.642 2.769" Properties=species:S:1:pos:R:3 pbc="T T T"
Re 0.000 0.000 0.000
V 0.590 -0.166 4.102
Cl -1.289 -1.337 1.586
P -0.186 1.821 1.384
Cl 2.065 -0.649 1.131
```

Output
- theoretical density (g cm⁻³) = 5.1
- DOS(E_F) (states/eV per atom) = 2.28
- SG = P4/mmm, No. 123

***

## Q
A plane-wave DFT calculation with PBE was carried out for VRePCl2 after structural relaxation.

The structure in extended XYZ format:
```
5
Lattice="4.413 0.000 0.000 0.000 4.413 0.000 0.000 0.000 5.240" Properties=species:S:1:pos:R:3 pbc="T T T"
P 0.000 0.000 2.620
Cl 2.206 0.000 0.000
Re 2.206 2.206 2.620
V 0.000 0.000 0.000
Cl 0.000 2.206 0.000
```

Output
- theoretical density (g cm⁻³) = 5.5
- DOS(E_F) (states/eV per atom) = 0.93
- SG = P4/mmm, No. 123

***

Most stable of them? P.

***

## P
A plane-wave DFT calculation with PBE was carried out for ReP2WCl after structural relaxation.

The structure in extended XYZ format:
```
5
Lattice="-1.650 -1.710 -3.913 -0.057 -4.186 1.853 -4.611 0.774 1.606" Properties=species:S:1:pos:R:3 pbc="T T T"
Re 0.000 0.000 0.000
Cl -2.306 0.387 0.803
W -3.159 -2.561 -0.227
P -0.029 -2.093 0.927
P -0.825 -0.855 -1.956
```

Output
- theoretical density (g cm⁻³) = 7.5
- DOS(E_F) (states/eV per atom) = 0.76
- SG = P4/mmm, No. 123

***

## Q
A plane-wave DFT calculation with PBE was carried out for ReP2WCl after structural relaxation.

The structure in extended XYZ format:
```
5
Lattice="4.751 0.000 0.000 0.000 4.751 0.000 0.000 0.000 4.689" Properties=species:S:1:pos:R:3 pbc="T T T"
Cl 0.000 0.000 2.344
P 2.376 0.000 0.000
W 0.000 0.000 0.000
Re 2.376 2.376 2.344
P 0.000 2.376 0.000
```

Output
- theoretical density (g cm⁻³) = 7.3
- DOS(E_F) (states/eV per atom) = 0.62
- SG = P4/mmm, No. 123

***

Most stable of them? Q.

***

## P
A plane-wave DFT calculation with PBE was carried out for ZrRePCl2 after structural relaxation.

The structure in extended XYZ format:
```
5
Lattice="4.916 0.000 0.000 0.000 4.916 0.000 0.000 0.000 5.289" Properties=species:S:1:pos:R:3 pbc="T T T"
Zr 0.000 0.000 0.000
Cl 2.458 0.000 0.000
Cl 0.000 2.458 0.000
Re 2.458 2.458 2.645
P 0.000 0.000 2.645
```

Output
- theoretical density (g cm⁻³) = 4.9
- DOS(E_F) (states/eV per atom) = 0.45
- SG = P4/mmm, No. 123

***

## Q
A plane-wave DFT calculation with PBE was carried out for ZrRePCl2 after structural relaxation.

The structure in extended XYZ format:
```
5
Lattice="4.709 0.000 0.000 0.000 4.709 0.000 0.000 0.000 4.683" Properties=species:S:1:pos:R:3 pbc="T T T"
P 0.000 0.000 2.342
Cl 0.000 2.354 0.000
Cl 2.354 0.000 0.000
Zr 2.354 2.354 2.342
Re 0.000 0.000 0.000
```

Output
- theoretical density (g cm⁻³) = 6.1
- DOS(E_F) (states/eV per atom) = 1.37
- SG = P4/mmm, No. 123

***

Most stable of them? P.

***

## P
A plane-wave DFT calculation with PBE was carried out for PRh2Cl after structural relaxation.

The structure in extended XYZ format:
```
4
Lattice="2.960 0.000 0.000 0.000 2.960 0.000 0.000 0.000 6.780" Properties=species:S:1:pos:R:3 pbc="T T T"
Rh 0.000 0.000 3.746
P 1.480 1.480 5.085
Rh 0.000 0.000 6.424
Cl 1.480 1.480 1.695
```

Output
- theoretical density (g cm⁻³) = 7.6
- DOS(E_F) (states/eV per atom) = 0.62
- SG = P4/mmm, No. 123

***

## Q
A plane-wave DFT calculation with PBE was carried out for PRh2Cl after structural relaxation.

The structure in extended XYZ format:
```
4
Lattice="-1.168 -2.800 0.026 1.958 -0.798 2.061 -4.591 1.961 4.797" Properties=species:S:1:pos:R:3 pbc="T T T"
Rh -1.964 0.851 3.325
Rh -3.943 1.692 4.901
Cl -1.242 -1.109 1.728
P -2.559 -0.527 5.157
```

Output
- theoretical density (g cm⁻³) = 7.3
- DOS(E_F) (states/eV per atom) = 0.48
- SG = P2/m, No. 10

***

Most stable of them? Q.

***

## P
A plane-wave DFT calculation with PBE was carried out for PRh2Cl after structural relaxation.

The structure in extended XYZ format:
```
4
Lattice="6.837 0.008 -0.007 5.363 4.241 0.007 -6.123 -2.058 2.240" Properties=species:S:1:pos:R:3 pbc="T T T"
Rh 3.656 0.124 1.117
Cl 5.455 1.900 0.000
Rh 1.001 0.349 0.000
P 2.065 1.943 1.123
```

Output
- theoretical density (g cm⁻³) = 7.0
- DOS(E_F) (states/eV per atom) = 0.51
- SG = Imm2, No. 44

***

## Q
A plane-wave DFT calculation with PBE was carried out for PRh2Cl after structural relaxation.

The structure in extended XYZ format:
```
4
Lattice="3.542 0.006 0.051 1.766 3.071 0.051 1.701 0.986 6.117" Properties=species:S:1:pos:R:3 pbc="T T T"
P 1.752 1.016 1.555
Cl 5.257 3.047 4.664
Rh 3.507 2.032 2.643
Rh 5.307 3.076 0.567
```

Output
- theoretical density (g cm⁻³) = 6.8
- DOS(E_F) (states/eV per atom) = 0.12
- SG = C2/m, No. 12

***

## R
A plane-wave DFT calculation with PBE was carried out for PRh2Cl after structural relaxation.

The structure in extended XYZ format:
```
4
Lattice="0.000 3.057 3.057 3.057 0.000 3.057 3.057 3.057 0.000" Properties=species:S:1:pos:R:3 pbc="T T T"
Cl 3.057 3.057 3.057
Rh 4.585 4.585 4.585
Rh 1.528 1.528 1.528
P 0.000 0.000 0.000
```

Output
- theoretical density (g cm⁻³) = 7.9
- DOS(E_F) (states/eV per atom) = 1.26
- SG = Fm-3m, No. 225

***

## S
A plane-wave DFT calculation with PBE was carried out for PRh2Cl after structural relaxation.

The structure in extended XYZ format:
```
4
Lattice="-2.979 0.397 -1.972 -3.013 -1.747 0.886 -1.114 5.025 3.756" Properties=species:S:1:pos:R:3 pbc="T T T"
Cl -4.022 1.570 1.129
Rh -6.153 -0.462 -0.421
P -1.821 -0.394 -0.317
Rh -4.655 3.446 2.529
```

Output
- theoretical density (g cm⁻³) = 6.4
- DOS(E_F) (states/eV per atom) = 0.36
- SG = Cm, No. 8

***

Most stable of them? S.

***

## P
A plane-wave DFT calculation with PBE was carried out for PRhSCl2 after structural relaxation.

The structure in extended XYZ format:
```
5
Lattice="-3.962 2.275 1.031 -1.339 -0.300 -4.478 -2.142 -4.145 0.918" Properties=species:S:1:pos:R:3 pbc="T T T"
P 0.000 0.000 0.000
S -1.071 -2.072 0.459
Rh -3.721 -1.085 -1.264
Cl -0.669 -0.150 -2.239
Cl -1.981 1.138 0.516
```

Output
- theoretical density (g cm⁻³) = 3.8
- DOS(E_F) (states/eV per atom) = 0.81
- SG = P4/mmm, No. 123

***

## Q
A plane-wave DFT calculation with PBE was carried out for PRhSCl2 after structural relaxation.

The structure in extended XYZ format:
```
5
Lattice="4.730 0.000 0.000 0.000 4.730 0.000 0.000 0.000 4.673" Properties=species:S:1:pos:R:3 pbc="T T T"
Cl 2.365 0.000 0.000
Cl 0.000 2.365 0.000
Rh 0.000 0.000 0.000
P 0.000 0.000 2.337
S 2.365 2.365 2.337
```

Output
- theoretical density (g cm⁻³) = 3.8
- DOS(E_F) (states/eV per atom) = 0.70
- SG = P4/mmm, No. 123

***

Most stable of them? Q.

***

## P
A plane-wave DFT calculation with PBE was carried out for PRhSCl2 after structural relaxation.

The structure in extended XYZ format:
```
5
Lattice="4.448 0.000 0.000 0.000 4.448 0.000 0.000 0.000 5.176" Properties=species:S:1:pos:R:3 pbc="T T T"
Cl 0.000 2.224 0.000
P 0.000 0.000 2.588
S 0.000 0.000 0.000
Cl 2.224 0.000 0.000
Rh 2.224 2.224 2.588
```

Output
- theoretical density (g cm⁻³) = 3.8
- DOS(E_F) (states/eV per atom) = 1.30
- SG = P4/mmm, No. 123

***

## Q
A plane-wave DFT calculation with PBE was carried out for PRhSCl2 after structural relaxation.

The structure in extended XYZ format:
```
5
Lattice="4.740 0.000 0.000 0.000 4.740 0.000 0.000 0.000 4.682" Properties=species:S:1:pos:R:3 pbc="T T T"
P 2.370 2.370 2.341
Cl 2.370 0.000 0.000
S 0.000 0.000 2.341
Cl 0.000 2.370 0.000
Rh 0.000 0.000 0.000
```

Output
- theoretical density (g cm⁻³) = 3.7
- DOS(E_F) (states/eV per atom) = 0.69
- SG = P4/mmm, No. 123

***

Most stable of them? Q.

***

## P
A plane-wave DFT calculation with PBE was carried out for P2RhSCl after structural relaxation.

The structure in extended XYZ format:
```
5
Lattice="4.550 0.000 0.000 0.000 4.550 0.000 0.000 0.000 4.388" Properties=species:S:1:pos:R:3 pbc="T T T"
P 0.000 2.275 0.000
P 2.275 0.000 0.000
Cl 0.000 0.000 2.194
S 0.000 0.000 0.000
Rh 2.275 2.275 2.194
```

Output
- theoretical density (g cm⁻³) = 4.2
- DOS(E_F) (states/eV per atom) = 0.98
- SG = P4/mmm, No. 123

***

## Q
A plane-wave DFT calculation with PBE was carried out for P2RhSCl after structural relaxation.

The structure in extended XYZ format:
```
5
Lattice="-1.438 -3.619 2.481 1.873 -2.867 -3.097 4.009 0.042 2.385" Properties=species:S:1:pos:R:3 pbc="T T T"
Rh 0.000 0.000 0.000
P -0.719 -1.809 1.240
Cl 2.005 0.021 1.193
S 2.222 -3.222 0.884
P 0.936 -1.433 -1.548
```

Output
- theoretical density (g cm⁻³) = 3.9
- DOS(E_F) (states/eV per atom) = 0.62
- SG = P4/mmm, No. 123

***

Most stable of them? Q.

***

## P
A plane-wave DFT calculation with PBE was carried out for P2RhSCl after structural relaxation.

The structure in extended XYZ format:
```
5
Lattice="-2.944 0.614 -3.474 3.125 -1.645 -2.939 -1.713 -4.445 0.667" Properties=species:S:1:pos:R:3 pbc="T T T"
Cl -0.766 -2.738 -2.873
P 1.563 -0.823 -1.470
S -0.856 -2.222 0.333
Rh 0.000 0.000 0.000
P -1.472 0.307 -1.737
```

Output
- theoretical density (g cm⁻³) = 3.8
- DOS(E_F) (states/eV per atom) = 1.32
- SG = P4/mmm, No. 123

***

## Q
A plane-wave DFT calculation with PBE was carried out for P2RhSCl after structural relaxation.

The structure in extended XYZ format:
```
5
Lattice="4.447 0.000 0.000 0.000 4.447 0.000 0.000 0.000 4.597" Properties=species:S:1:pos:R:3 pbc="T T T"
P 2.224 0.000 0.000
S 0.000 0.000 2.299
Cl 0.000 0.000 0.000
P 0.000 2.224 0.000
Rh 2.224 2.224 2.299
```

Output
- theoretical density (g cm⁻³) = 4.2
- DOS(E_F) (states/eV per atom) = 0.83
- SG = P4/mmm, No. 123

***

Most stable of them? P.

***

## P
A plane-wave DFT calculation with PBE was carried out for SbPRhCl2 after structural relaxation.

The structure in extended XYZ format:
```
5
Lattice="4.719 0.000 0.000 0.000 4.719 0.000 0.000 0.000 4.789" Properties=species:S:1:pos:R:3 pbc="T T T"
Sb 2.359 2.359 2.394
Rh 0.000 0.000 0.000
Cl 0.000 2.359 0.000
P 0.000 0.000 2.394
Cl 2.359 0.000 0.000
```

Output
- theoretical density (g cm⁻³) = 5.1
- DOS(E_F) (states/eV per atom) = 0.47
- SG = P4/mmm, No. 123

***

## Q
A plane-wave DFT calculation with PBE was carried out for SbPRhCl2 after structural relaxation.

The structure in extended XYZ format:
```
5
Lattice="-3.017 0.513 -4.089 -0.853 -5.036 -0.002 -4.254 0.719 3.228" Properties=species:S:1:pos:R:3 pbc="T T T"
Cl -0.426 -2.518 -0.001
Rh -4.062 -1.902 -0.432
Cl -1.508 0.256 -2.045
Sb 0.000 0.000 0.000
P -2.127 0.360 1.614
```

Output
- theoretical density (g cm⁻³) = 3.9
- DOS(E_F) (states/eV per atom) = 1.31
- SG = P4/mmm, No. 123

***

Most stable of them? P.

***

## P
A plane-wave DFT calculation with PBE was carried out for P2RhSeCl after structural relaxation.

The structure in extended XYZ format:
```
5
Lattice="4.803 0.000 0.000 0.000 4.803 0.000 0.000 0.000 4.625" Properties=species:S:1:pos:R:3 pbc="T T T"
Cl 0.000 0.000 2.312
P 0.000 2.402 0.000
Se 0.000 0.000 0.000
Rh 2.402 2.402 2.312
P 2.402 0.000 0.000
```

Output
- theoretical density (g cm⁻³) = 4.3
- DOS(E_F) (states/eV per atom) = 1.31
- SG = P4/mmm, No. 123

***

## Q
A plane-wave DFT calculation with PBE was carried out for P2RhSeCl after structural relaxation.

The structure in extended XYZ format:
```
5
Lattice="4.643 0.000 0.000 0.000 4.643 0.000 0.000 0.000 4.678" Properties=species:S:1:pos:R:3 pbc="T T T"
Rh 0.000 0.000 0.000
P 2.322 0.000 0.000
P 0.000 2.322 0.000
Se 2.322 2.322 2.339
Cl 0.000 0.000 2.339
```

Output
- theoretical density (g cm⁻³) = 4.6
- DOS(E_F) (states/eV per atom) = 0.58
- SG = P4/mmm, No. 123

***

Most stable of them? Q.

***

## P
A plane-wave DFT calculation with PBE was carried out for PRhSeCl2 after structural relaxation.

The structure in extended XYZ format:
```
5
Lattice="-0.099 4.552 -1.337 -3.990 0.644 2.488 2.827 1.294 4.197" Properties=species:S:1:pos:R:3 pbc="T T T"
Cl -1.995 0.322 1.244
Rh -0.631 3.245 2.674
Cl -0.050 2.276 -0.668
P 1.413 0.647 2.099
Se 0.000 0.000 0.000
```

Output
- theoretical density (g cm⁻³) = 4.0
- DOS(E_F) (states/eV per atom) = 1.33
- SG = P4/mmm, No. 123

***

## Q
A plane-wave DFT calculation with PBE was carried out for PRhSeCl2 after structural relaxation.

The structure in extended XYZ format:
```
5
Lattice="4.723 0.000 0.000 0.000 4.723 0.000 0.000 0.000 4.712" Properties=species:S:1:pos:R:3 pbc="T T T"
Se 2.362 2.362 2.356
Cl 2.362 0.000 0.000
P 0.000 0.000 2.356
Cl 0.000 2.362 0.000
Rh 0.000 0.000 0.000
```

Output
- theoretical density (g cm⁻³) = 4.5
- DOS(E_F) (states/eV per atom) = 0.78
- SG = P4/mmm, No. 123

***

Most stable of them? Q.